(1)
The following is a DFT calculation (GGA-PBE) of NaNiPd2C after structural relaxation.

abc: 4.2751 4.2751 3.7330
angles: 90.00 90.00 90.00
With the nearest neighbours (Å) after each atom.
Fractional positions:
Ni1 0.0000 0.0000 0.5000  2 C 1.87
C1 0.0000 0.0000 0.0000  2 Ni 1.87
Pd1 0.0000 0.5000 0.0000  2 C 2.14
Pd2 0.5000 0.0000 0.0000  2 C 2.14
Na1 0.5000 0.5000 0.5000  8 Pd 2.84, 4 Ni 3.02

Electronic total energy = -26.2 eV/cell
M_tot = 0.0 μB/f.u.
Formation enthalpy at 0 K = 0.10 eV per atom

---

(2)
The following is a DFT calculation (GGA-PBE) of NaNi2PdC after structural relaxation.

abc: 3.8125 3.8125 4.3111
angles: 90.00 90.00 90.00
With the nearest neighbours (Å) after each atom.
Fractional positions:
Ni1 0.0000 0.5000 0.0000  2 C 1.91
Ni2 0.5000 0.0000 0.0000  2 C 1.91
C1 0.0000 0.0000 0.0000  4 Ni 1.91
Pd1 0.0000 0.0000 0.5000  2 C 2.16
Na1 0.5000 0.5000 0.5000  4 Pd 2.70, 8 Ni 2.88

Electronic total energy = -26.6 eV/cell
M_tot = 0.0 μB/f.u.
Formation enthalpy at 0 K = 0.15 eV per atom

---

(3)
The following is a DFT calculation (GGA-PBE) of NaNi2RhC after structural relaxation.

abc: 3.8695 3.8695 4.0583
angles: 90.00 90.00 90.00
With the nearest neighbours (Å) after each atom.
Fractional positions:
Ni1 0.0000 0.5000 0.0000  2 C 1.93
Ni2 0.5000 0.0000 0.0000  2 C 1.93
C1 0.0000 0.0000 0.0000  4 Ni 1.93, 2 Rh 2.03
Rh1 0.0000 0.0000 0.5000  2 C 2.03
Na1 0.5000 0.5000 0.5000  4 Rh 2.74, 8 Ni 2.80

Electronic total energy = -28.8 eV/cell
M_tot = 0.0 μB/f.u.
Formation enthalpy at 0 K = 0.13 eV per atom

---

(4)
The following is a DFT calculation (GGA-PBE) of NaNiRh2C after structural relaxation.

abc: 4.1003 4.1003 3.8708
angles: 90.00 90.00 90.00
With the nearest neighbours (Å) after each atom.
Fractional positions:
Ni1 0.0000 0.0000 0.5000  2 C 1.94
C1 0.0000 0.0000 0.0000  2 Ni 1.94, 4 Rh 2.05
Rh1 0.0000 0.5000 0.0000  2 C 2.05
Rh2 0.5000 0.0000 0.0000  2 C 2.05
Na1 0.5000 0.5000 0.5000  8 Rh 2.82, 4 Ni 2.90

Electronic total energy = -30.3 eV/cell
M_tot = 0.4 μB/f.u.
Formation enthalpy at 0 K = 0.15 eV per atom

---

(5)
The following is a DFT calculation (GGA-PBE) of NaNi2RuC after structural relaxation.

abc: 4.4178 5.4450 4.4178
angles: 90.00 90.00 90.00
With the nearest neighbours (Å) after each atom.
Fractional positions:
Ru1 0.0000 0.0000 0.0000  4 Ni 2.21
C1 0.5000 0.5000 0.5000  4 Na 3.12
Na1 0.0000 0.5000 0.0000  2 Ru 2.72
Ni1 0.0000 0.0000 0.5000  2 Ru 2.21
Ni2 0.5000 0.0000 0.0000  2 Ru 2.21

Electronic total energy = -19.3 eV/cell
M_tot = 2.2 μB/f.u.
Formation enthalpy at 0 K = 2.42 eV per atom

---

(6)
The following is a DFT calculation (GGA-PBE) of NaSr2NiC after structural relaxation.

abc: 5.3099 4.7507 5.3099
angles: 90.00 90.00 90.00
With the nearest neighbours (Å) after each atom.
Fractional positions:
Sr1 0.0000 0.0000 0.5000  2 C 2.65
Sr2 0.5000 0.0000 0.0000  2 C 2.65
C1 0.0000 0.0000 0.0000  2 Na 2.38, 4 Sr 2.65
Na1 0.0000 0.5000 0.0000  2 C 2.38
Ni1 0.5000 0.5000 0.5000  8 Sr 3.56, 4 Na 3.75

E above lowest polymorph = 2.62 eV per formula unit
Electronic total energy = -16.3 eV/cell
M_tot = 1.0 μB/f.u.
Formation enthalpy at 0 K = 0.68 eV per atom

---

(7)
The following is a DFT calculation (GGA-PBE) of NaSr2NiC after structural relaxation.

abc: 5.6787 5.6787 3.7378
angles: 90.00 90.00 90.00
With the nearest neighbours (Å) after each atom.
Fractional positions:
Sr1 0.0000 0.5000 0.0000  2 C 2.84
Sr2 0.5000 0.0000 0.0000  2 C 2.84
C1 0.0000 0.0000 0.0000  2 Ni 1.87
Na1 0.5000 0.5000 0.5000  8 Sr 3.40, 2 Na 3.74
Ni1 0.0000 0.0000 0.5000  2 C 1.87

E above lowest polymorph = 0.00 eV per formula unit
Electronic total energy = -18.9 eV/cell
M_tot = 0.0 μB/f.u.
Formation enthalpy at 0 K = 0.16 eV per atom

---

(8)
The following is a DFT calculation (GGA-PBE) of NaTcNiC2 after structural relaxation.

abc: 4.0024 4.7222 4.0024
angles: 90.00 90.00 90.00
With the nearest neighbours (Å) after each atom.
Fractional positions:
Ni1 0.0000 0.5000 0.0000  2 Tc 2.36
C1 0.0000 0.0000 0.5000  2 Tc 2.00
C2 0.5000 0.0000 0.0000  2 Tc 2.00
Tc1 0.0000 0.0000 0.0000  4 C 2.00
Na1 0.5000 0.5000 0.5000  4 Ni 2.83, 8 C 3.10

Electronic total energy = -29.6 eV/cell
M_tot = 0.7 μB/f.u.
Formation enthalpy at 0 K = 1.27 eV per atom

---

(9)
The following is a DFT calculation (GGA-PBE) of Na2TcNiC after structural relaxation.

abc: 4.9890 4.4818 4.9890
angles: 90.00 90.00 90.00
With the nearest neighbours (Å) after each atom.
Fractional positions:
Ni1 0.0000 0.0000 0.0000  2 Tc 2.24, 4 Na 2.49
C1 0.5000 0.5000 0.5000  8 Na 3.35, 4 Tc 3.53
Tc1 0.0000 0.5000 0.0000  2 Ni 2.24
Na1 0.0000 0.0000 0.5000  2 Ni 2.49
Na2 0.5000 0.0000 0.0000  2 Ni 2.49

Electronic total energy = -17.6 eV/cell
M_tot = 2.6 μB/f.u.
Formation enthalpy at 0 K = 2.08 eV per atom

---

(10)
The following is a DFT calculation (GGA-PBE) of NaNpCO5 after structural relaxation.

abc: 4.4040 4.9211 11.0736
angles: 90.00 90.00 90.00
With the nearest neighbours (Å) after each atom.
Fractional positions:
Na1 0.2707 0.5000 0.7545  5 O 2.41-2.61
Na2 0.7293 0.0000 0.2545  5 O 2.41-2.61
Np1 0.7586 0.5000 0.4984  2 O 1.85-1.86
Np2 0.2414 0.0000 0.9984  2 O 1.85-1.86
C1 0.8577 0.5000 0.0000  3 O 1.28-1.31
C2 0.1423 0.0000 0.5000  3 O 1.28-1.31
O1 0.7309 0.2667 0.0127  1 C 1.28
O2 0.2691 0.2333 0.5127  1 C 1.28
O3 0.2614 0.0000 0.8317  1 Np 1.85
O4 0.7386 0.5000 0.3317  1 Np 1.85
O5 0.7714 0.5000 0.6665  1 Np 1.86
O6 0.8514 0.0000 0.4737  1 C 1.31
O7 0.2691 0.7667 0.5127  1 C 1.28
O8 0.1486 0.5000 0.9737  1 C 1.31
O9 0.2286 0.0000 0.1665  1 Np 1.86
O10 0.7309 0.7333 0.0127  1 C 1.28

E above lowest polymorph = 0.00 eV per formula unit
Electronic total energy = -131.7 eV/cell
Formation energy (no corrections) = -2.20 eV/atom
M_tot = 2.0 μB/f.u.

---

(11)
The following is a DFT calculation (GGA-PBE) of Na3NpC4O12 after structural relaxation.

abc: 6.5157 6.5157 6.5157
angles: 101.26 101.26 101.26
With the nearest neighbours (Å) after each atom.
Fractional positions:
Na1 0.5120 0.4880 0.0000  6 O 2.35-2.50
Na2 0.4880 0.0000 0.5120  6 O 2.35-2.50
Na3 0.0000 0.5120 0.4880  6 O 2.35-2.50
Np1 0.0000 0.0000 0.0000  6 O 2.33
C1 0.9970 0.0031 0.5000  3 O 1.25-1.33
C2 0.0031 0.5000 0.9970  3 O 1.25-1.33
C3 0.5000 0.9970 0.0031  3 O 1.25-1.33
C4 0.5000 0.5000 0.5000  3 O 1.28
O1 0.5000 0.3732 0.6268  1 C 1.28
O2 0.8792 0.5000 0.1208  1 C 1.25
O3 0.1208 0.8792 0.5000  1 C 1.25
O4 0.5000 0.1208 0.8792  1 C 1.25
O5 0.3550 0.9803 0.1201  1 C 1.33
O6 0.1201 0.3550 0.9803  1 C 1.33
O7 0.9803 0.1201 0.3550  1 C 1.33
O8 0.6450 0.8799 0.0197  1 C 1.33
O9 0.0197 0.6450 0.8799  1 C 1.33
O10 0.8799 0.0197 0.6450  1 C 1.33
O11 0.6268 0.5000 0.3732  1 C 1.28
O12 0.3732 0.6268 0.5000  1 C 1.28

Electronic total energy = -146.7 eV/cell
Formation energy (no corrections) = -1.67 eV/atom
M_tot = 3.7 μB/f.u.

---

(12)
The following is a DFT calculation (GGA-PBE) of NaNpCO5 after structural relaxation.

abc: 5.4772 5.4772 7.6853
angles: 105.19 105.19 103.58
With the nearest neighbours (Å) after each atom.
Fractional positions:
Na1 0.3466 0.6534 0.2500  3 O 2.22-2.33
Na2 0.6534 0.3466 0.7500  3 O 2.22-2.33
Np1 0.0000 0.0000 0.5000  6 O 2.07-2.19
Np2 0.0000 0.0000 0.0000  6 O 2.07-2.19
C1 0.6811 0.3189 0.2500  4 O 1.41
C2 0.3189 0.6811 0.7500  4 O 1.41
O1 0.0892 0.9108 0.2500  2 Np 2.07, 1 Na 2.22
O2 0.9108 0.0892 0.7500  2 Np 2.07, 1 Na 2.22
O3 0.8603 0.3107 0.1470  1 C 1.41
O4 0.1397 0.6893 0.8530  1 C 1.41
O5 0.6893 0.1397 0.3530  1 C 1.41
O6 0.3107 0.8603 0.6470  1 C 1.41
O7 0.7475 0.5802 0.3796  1 C 1.41
O8 0.2525 0.4198 0.6204  1 C 1.41
O9 0.4198 0.2525 0.1204  1 C 1.41
O10 0.5802 0.7475 0.8796  1 C 1.41

E above lowest polymorph = 1.65 eV per formula unit
Electronic total energy = -128.4 eV/cell
Formation energy (no corrections) = -1.99 eV/atom
M_tot = 2.0 μB/f.u.